The following is a DFT calculation (GGA-PBE) of crystalline LaNpSe2 at its relaxed geometry.

a = 4.2000 Å, b = 4.2000 Å, c = 7.3223 Å
α = 73.33°, β = 73.33°, γ = 60.00°
Fractional positions:
Np1 0.5000 0.5000 0.5000
Se1 0.7551 0.7551 0.7346
Se2 0.2449 0.2449 0.2654
La1 0.0000 0.0000 0.0000

Results
- E (eV/atom) = -7.735
- ρ (g/cm3) = 8.399
- SG = R-3m

The following is a DFT calculation (GGA-PBE) of crystalline LaNi12 at its relaxed geometry.

a = 4.7216 Å, b = 6.3307 Å, c = 6.3307 Å
α = 82.01°, β = 68.10°, γ = 68.10°
Fractional positions:
La1 0.0000 0.0000 0.0000
Ni1 0.5000 0.0000 0.5000
Ni2 0.0000 0.0000 0.5000
Ni3 0.5000 0.5000 0.0000
Ni4 0.0000 0.5000 0.0000
Ni5 0.0000 0.6441 0.3559
Ni6 0.0000 0.3559 0.6441
Ni7 0.6441 0.3559 0.3559
Ni8 0.3559 0.6441 0.6441
Ni9 0.5000 0.2329 0.7671
Ni10 0.5000 0.7671 0.2329
Ni11 0.7329 0.7671 0.7671
Ni12 0.2671 0.2329 0.2329

Results
- E_form (eV per atom) = -0.0826
- ρ (g/cm3) = 8.595
- SG = I4/mmm

The following is a DFT calculation (GGA-PBE) of crystalline AcLa6Nd12 at its relaxed geometry.

a = 9.0728 Å, b = 9.0728 Å, c = 9.0728 Å
α = 99.71°, β = 99.71°, γ = 99.71°
Fractional positions:
Ac1 0.0000 0.0000 0.0000
La1 0.9029 0.3470 0.9029
La2 0.9029 0.9029 0.3470
La3 0.3470 0.9029 0.9029
La4 0.0971 0.0971 0.6530
La5 0.0971 0.6530 0.0971
La6 0.6530 0.0971 0.0971
Nd1 0.7569 0.2431 0.5000
Nd2 0.3543 0.0803 0.3543
Nd3 0.3543 0.3543 0.0803
Nd4 0.9197 0.6457 0.6457
Nd5 0.6457 0.6457 0.9197
Nd6 0.6457 0.9197 0.6457
Nd7 0.5000 0.7569 0.2431
Nd8 0.2431 0.5000 0.7569
Nd9 0.2431 0.7569 0.5000
Nd10 0.5000 0.2431 0.7569
Nd11 0.7569 0.5000 0.2431
Nd12 0.0803 0.3543 0.3543

Results
- E_form (eV per atom) = 0.1771
- ρ (g/cm3) = 6.524
- SG = R-3m
- offset from the most stable computed form (eV/atom) = 0.057

The following is a DFT calculation (GGA-PBE) of crystalline LiEr2Mg4 at its relaxed geometry.

a = 3.3995 Å, b = 3.4091 Å, c = 15.0238 Å
α = 90.00°, β = 96.50°, γ = 90.00°
Fractional positions:
Li1 0.5000 0.0000 0.0000
Er1 0.7997 0.5000 0.5994
Er2 0.2003 0.5000 0.4006
Mg1 0.9424 0.5000 0.8847
Mg2 0.6233 0.0000 0.2465
Mg3 0.0576 0.5000 0.1153
Mg4 0.3767 0.0000 0.7535

Results
- E_form (eV per atom) = 0.0374
- ρ (g/cm3) = 4.211
- SG = Cmmm
- offset from the most stable computed form (eV/atom) = 0.000

The following is a DFT calculation (GGA-PBE) of crystalline Y2Cl at its relaxed geometry.

a = 5.7491 Å, b = 5.7491 Å, c = 3.2606 Å
α = 90.00°, β = 90.00°, γ = 120.00°
Fractional positions:
Cl1 0.0000 0.0000 0.0000
Y1 0.3333 0.6667 0.5000
Y2 0.6667 0.3333 0.5000

Results
- ρ (g/cm3) = 3.794
- SG = P6/mmm
- offset from the most stable computed form (eV/atom) = 1.123

The following is a DFT calculation (GGA-PBE) of crystalline LiAl2Zn5 at its relaxed geometry.

a = 3.9408 Å, b = 5.6892 Å, c = 10.9825 Å
α = 90.00°, β = 90.00°, γ = 90.00°
Fractional positions:
Li1 0.0000 0.0000 0.5000
Li2 0.0000 0.5000 0.0000
Al1 0.5000 0.2546 0.6249
Al2 0.5000 0.7454 0.3751
Al3 0.5000 0.2454 0.1249
Al4 0.5000 0.7546 0.8751
Zn1 0.0000 0.0000 0.0000
Zn2 0.0000 0.5000 0.5000
Zn3 0.0000 0.5074 0.7473
Zn4 0.0000 0.4926 0.2527
Zn5 0.0000 0.9926 0.2473
Zn6 0.0000 0.0074 0.7527
Zn7 0.5000 0.2617 0.8773
Zn8 0.5000 0.7383 0.1227
Zn9 0.5000 0.2383 0.3773
Zn10 0.5000 0.7617 0.6227

Results
- E_form (eV per atom) = -0.0423
- ρ (g/cm3) = 5.233
- SG = Pbam

The following is a DFT calculation (GGA-PBE) of crystalline Pr3Zn9Rh2 at its relaxed geometry.

a = 4.3511 Å, b = 8.3241 Å, c = 8.3241 Å
α = 67.15°, β = 74.85°, γ = 74.85°
Fractional positions:
Pr1 0.0000 0.0000 0.0000
Pr2 0.6922 0.3078 0.3078
Pr3 0.3078 0.6922 0.6922
Zn1 0.0000 0.5000 0.5000
Zn2 0.6646 0.9782 0.6926
Zn3 0.3354 0.0218 0.3074
Zn4 0.6646 0.6926 0.9782
Zn5 0.3354 0.3074 0.0218
Zn6 0.8756 0.8431 0.4058
Zn7 0.1244 0.1569 0.5942
Zn8 0.8756 0.4058 0.8431
Zn9 0.1244 0.5942 0.1569
Rh1 0.5000 0.3040 0.6960
Rh2 0.5000 0.6960 0.3040

Results
- E_form (eV per atom) = -0.4059
- ρ (g/cm3) = 7.662
- SG = Immm

The following is a DFT calculation (GGA-PBE) of crystalline Nd8YTm4 at its relaxed geometry.

a = 7.2520 Å, b = 7.2520 Å, c = 10.5425 Å
α = 90.00°, β = 110.12°, γ = 120.00°
Fractional positions:
Nd1 0.5754 0.7877 0.3631
Nd2 0.4246 0.2123 0.6369
Nd3 0.4958 0.2479 0.2885
Nd4 0.9594 0.2073 0.7115
Nd5 0.5042 0.7521 0.7115
Nd6 0.9594 0.7521 0.7115
Nd7 0.0406 0.2479 0.2885
Nd8 0.0406 0.7927 0.2885
Y1 0.0000 0.5000 0.5000
Tm1 0.0000 0.0000 0.0000
Tm2 0.0000 0.5000 0.0000
Tm3 0.5000 0.5000 0.0000
Tm4 0.5000 0.0000 0.0000

Results
- E_form (eV per atom) = 0.1996
- ρ (g/cm3) = 7.230
- SG = R-3m